DFT (PBE) results for a geometry-optimized K2GaCoTe structure.

- energy (eV per cell) = -14.28
- mass density (Mg/m³) = 3.15
- total magnetization (μB/f.u.) = 1.8
- formation energy from raw total energies (eV/atom) = 0.2374

abc: 6.203 6.203 4.588
angles: 90.00 90.00 90.00
Element x y z (fractional)
K: 0.000 0.500 0.000
K: 0.500 0.000 0.000
Ga: 0.000 0.000 0.000
Co: 0.000 0.000 0.500
Te: 0.500 0.500 0.500

---

DFT (PBE) results for a geometry-optimized RbTlAgBr3 structure.

- energy (eV per cell) = -34.07
- mass density (Mg/m³) = 4.52
- total magnetization (μB/f.u.) = 0.0
- formation energy from raw total energies (eV/atom) = -0.9720

abc: 10.081 4.573 10.230
angles: 90.00 96.89 90.00
Element x y z (fractional)
Rb: 0.141 0.250 0.180
Rb: 0.859 0.750 0.820
Tl: 0.337 0.750 0.817
Tl: 0.663 0.250 0.183
Ag: 0.420 0.750 0.416
Ag: 0.580 0.250 0.584
Br: 0.114 0.250 0.845
Br: 0.304 0.250 0.505
Br: 0.396 0.750 0.149
Br: 0.604 0.250 0.851
Br: 0.696 0.750 0.495
Br: 0.886 0.750 0.155

---

DFT (PBE) results for a geometry-optimized Ac2ZnGaNi6 structure.

- energy (eV per cell) = -50.54
- mass density (Mg/m³) = 8.73
- total magnetization (μB/f.u.) = 0.0
- ΔE_f (eV per atom) = -0.334

abc: 5.081 6.436 6.482
angles: 79.07 66.94 66.75
Element x y z (fractional)
Ac: 0.246 0.204 0.303
Ac: 0.754 0.796 0.697
Zn: 0.500 0.500 0.500
Ga: 0.000 0.000 0.000
Ni: 0.229 0.270 0.778
Ni: 0.251 0.581 0.919
Ni: 0.277 0.730 0.222
Ni: 0.723 0.270 0.778
Ni: 0.749 0.419 0.081
Ni: 0.771 0.730 0.222

---

DFT (PBE) results for a geometry-optimized PrPb2F11 structure.

- energy (eV per cell) = -135.72
- mass density (Mg/m³) = 5.44
- total magnetization (μB/f.u.) = 0.0
- formation energy from raw total energies (eV/atom) = -2.5057

abc: 8.614 8.614 8.614
angles: 124.03 106.04 99.44
Element x y z (fractional)
Pr: 0.250 0.250 0.000
Pr: 0.750 0.750 0.000
Pb: 0.181 0.639 0.820
Pb: 0.319 0.139 0.457
Pb: 0.681 0.861 0.543
Pb: 0.819 0.361 0.180
F: 0.000 0.500 0.500
F: 0.043 0.960 0.282
F: 0.059 0.365 0.159
F: 0.178 0.460 0.917
F: 0.206 0.900 0.841
F: 0.213 0.371 0.584
F: 0.287 0.871 0.158
F: 0.294 0.135 0.694
F: 0.322 0.239 0.282
F: 0.441 0.600 0.306
F: 0.457 0.739 0.917
F: 0.500 0.000 0.500
F: 0.543 0.261 0.083
F: 0.559 0.400 0.694
F: 0.678 0.761 0.718
F: 0.706 0.865 0.306
F: 0.713 0.129 0.842
F: 0.787 0.629 0.416
F: 0.794 0.100 0.159
F: 0.822 0.540 0.083
F: 0.941 0.635 0.841
F: 0.957 0.040 0.718

---

DFT (PBE) results for a geometry-optimized PrAg2Au structure.

- energy (eV per cell) = -12.76
- mass density (Mg/m³) = 10.16
- total magnetization (μB/f.u.) = 0.0
- ΔE_f (eV per atom) = 0.251
- polymorph energy (0 for the lowest one) (kJ/mol of formula units) = 244

abc: 10.834 10.834 10.834
angles: 16.59 16.59 16.59
Element x y z (fractional)
Pr: 0.000 0.000 0.000
Ag: 0.095 0.095 0.095
Ag: 0.905 0.905 0.905
Au: 0.500 0.500 0.500

---

DFT (PBE) results for a geometry-optimized TcHOs2Rh structure.

- energy (eV per cell) = -42.76
- mass density (Mg/m³) = 16.25
- total magnetization (μB/f.u.) = 0.0

abc: 3.902 3.902 3.908
angles: 90.00 90.00 90.00
Element x y z (fractional)
Tc: 0.000 0.000 0.000
H: 0.000 0.000 0.500
Os: 0.000 0.500 0.500
Os: 0.500 0.000 0.500
Rh: 0.500 0.500 0.000